No. 1
PBE Tb2ThPt9, relaxed; calculated formation energy = -1069 meV per atom; calculated total energy = -6.989 eV/atom; DOS at the Fermi energy = 5.756 states/eV/f.u.
1.0
4.169 0.000 0.000
0.000 4.169 0.000
0.000 0.000 12.463
Tb Th Pt
2 1 9
direct
0.000 0.000 0.163 Tb
0.000 0.000 0.837 Tb
0.000 0.000 0.500 Th
0.000 0.500 0.000 Pt
0.000 0.500 0.330 Pt
0.000 0.500 0.670 Pt
0.500 0.000 0.000 Pt
0.500 0.000 0.330 Pt
0.500 0.000 0.670 Pt
0.500 0.500 0.165 Pt
0.500 0.500 0.500 Pt
0.500 0.500 0.835 Pt

***

No. 2
PBE Li2InMo, relaxed; calculated formation energy = 247 meV per atom; calculated total energy = -4.103 eV/atom; DOS at the Fermi energy = 2.514 states/eV/f.u.
1.0
9.891 0.000 0.000
0.000 2.838 0.000
-0.814 0.000 4.983
Li In Mo
4 2 2
direct
0.249 0.000 0.270 Li
0.251 0.500 0.730 Li
0.749 0.500 0.270 Li
0.751 0.000 0.730 Li
0.000 0.500 0.000 In
0.500 0.000 0.000 In
0.000 0.000 0.500 Mo
0.500 0.500 0.500 Mo

***

No. 3
PBE Ta4Co7Ge6, relaxed; calculated formation energy = -290 meV per atom; calculated total energy = -7.635 eV/atom; DOS at the Fermi energy = 11.713 states/eV/f.u.
1.0
-3.865 3.865 3.865
3.865 -3.865 3.865
3.865 3.865 -3.865
Ta Co Ge
4 7 6
direct
0.000 0.000 0.500 Ta
0.000 0.500 0.000 Ta
0.500 0.000 0.000 Ta
0.500 0.500 0.500 Ta
0.000 0.000 0.000 Co
0.250 0.500 0.750 Co
0.250 0.750 0.500 Co
0.500 0.250 0.750 Co
0.500 0.750 0.250 Co
0.750 0.250 0.500 Co
0.750 0.500 0.250 Co
0.000 0.313 0.313 Ge
0.000 0.687 0.687 Ge
0.313 0.000 0.313 Ge
0.313 0.313 0.000 Ge
0.687 0.000 0.687 Ge
0.687 0.687 0.000 Ge

***

No. 4
PBE LaTmMg, relaxed; calculated formation energy = -32 meV per atom; calculated total energy = -3.697 eV/atom; DOS at the Fermi energy = 4.148 states/eV/f.u.
1.0
3.757 0.000 0.000
0.000 3.757 0.000
0.000 0.000 13.004
La Tm Mg
2 2 2
direct
0.000 0.000 0.000 La
0.500 0.500 0.500 La
0.000 0.000 0.316 Tm
0.500 0.500 0.816 Tm
0.000 0.000 0.670 Mg
0.500 0.500 0.170 Mg

***

No. 5
PBE KBrO2, relaxed; uncorrected formation energy = -0.56 eV per atom; calculated total energy = -3.735 eV/atom; DOS at the Fermi energy = 0.000 states/eV/f.u.
1.0
7.515 0.000 0.000
0.000 13.357 0.000
-2.922 0.000 3.673
K Br O
4 4 8
direct
0.000 0.093 0.250 K
0.000 0.907 0.750 K
0.500 0.407 0.750 K
0.500 0.593 0.250 K
0.000 0.323 0.750 Br
0.000 0.677 0.250 Br
0.500 0.177 0.250 Br
0.500 0.823 0.750 Br
0.249 0.395 0.000 O
0.249 0.605 0.500 O
0.251 0.105 0.000 O
0.251 0.895 0.500 O
0.749 0.105 0.500 O
0.749 0.895 0.000 O
0.751 0.395 0.500 O
0.751 0.605 0.000 O

***

No. 6
PBE La2ZnGa4Au3, relaxed; calculated formation energy = -654 meV per atom; calculated total energy = -3.961 eV/atom; DOS at the Fermi energy = 5.972 states/eV/f.u.
1.0
4.452 0.000 0.000
0.000 4.452 0.000
0.000 0.000 10.635
La Zn Ga Au
2 1 4 3
direct
0.000 0.500 0.246 La
0.500 0.000 0.754 La
0.500 0.500 0.000 Zn
0.000 0.000 0.500 Ga
0.000 0.500 0.869 Ga
0.500 0.000 0.131 Ga
0.500 0.500 0.500 Ga
0.000 0.000 0.000 Au
0.000 0.500 0.631 Au
0.500 0.000 0.369 Au

***

No. 7
PBE Ti3HgPb, relaxed; calculated formation energy = 1132 meV per atom; calculated total energy = -4.407 eV/atom; DOS at the Fermi energy = 1.754 states/eV/f.u.
1.0
5.119 0.000 0.000
0.000 5.119 0.000
0.000 0.000 5.119
Ti Hg Pb
3 1 1
direct
0.000 0.000 0.500 Ti
0.000 0.500 0.000 Ti
0.500 0.000 0.000 Ti
0.500 0.500 0.500 Hg
0.000 0.000 0.000 Pb

***

No. 8
PBE Rb5Pr2I12, relaxed; uncorrected formation energy = -1.33 eV per atom; calculated total energy = -3.072 eV/atom; DOS at the Fermi energy = 4.170 states/eV/f.u.
1.0
10.311 -4.522 0.000
10.311 4.522 0.000
-3.903 0.000 11.332
Rb Pr I
5 2 12
direct
0.000 0.000 0.000 Rb
0.289 0.289 0.141 Rb
0.310 0.310 0.664 Rb
0.690 0.690 0.336 Rb
0.711 0.711 0.859 Rb
0.251 0.749 0.500 Pr
0.749 0.251 0.500 Pr
0.008 0.008 0.688 I
0.099 0.584 0.425 I
0.134 0.581 0.938 I
0.416 0.901 0.575 I
0.419 0.866 0.062 I
0.493 0.493 0.307 I
0.507 0.507 0.693 I
0.581 0.134 0.938 I
0.584 0.099 0.425 I
0.866 0.419 0.062 I
0.901 0.416 0.575 I
0.992 0.992 0.312 I

***

No. 9
PBE ZrTcHg2, relaxed; calculated formation energy = 316 meV per atom; calculated total energy = -4.563 eV/atom; DOS at the Fermi energy = 4.267 states/eV/f.u.
1.0
3.048 0.000 0.000
0.000 3.048 0.000
0.000 0.000 8.389
Zr Tc Hg
1 1 2
direct
0.000 0.000 0.000 Zr
0.000 0.000 0.500 Tc
0.500 0.500 0.265 Hg
0.500 0.500 0.735 Hg

***

No. 10
PBE YCdCu2, relaxed; calculated formation energy = 461 meV per atom; calculated total energy = -3.432 eV/atom; DOS at the Fermi energy = 2.878 states/eV/f.u.
1.0
3.040 0.000 0.000
0.000 5.147 0.000
0.000 0.000 10.839
Y Cd Cu
2 2 4
direct
0.000 0.000 0.000 Y
0.500 0.500 0.500 Y
0.000 0.000 0.500 Cd
0.500 0.500 0.000 Cd
0.000 0.000 0.261 Cu
0.000 0.000 0.739 Cu
0.500 0.500 0.239 Cu
0.500 0.500 0.761 Cu

***

No. 11
PBE Dy2In8Pt, relaxed; calculated formation energy = -417 meV per atom; calculated total energy = -3.795 eV/atom; DOS at the Fermi energy = 6.785 states/eV/f.u.
1.0
4.685 0.000 0.000
0.000 4.685 0.000
0.000 0.000 12.109
Dy In Pt
2 8 1
direct
0.000 0.000 0.190 Dy
0.000 0.000 0.810 Dy
0.000 0.500 0.000 In
0.000 0.500 0.373 In
0.000 0.500 0.627 In
0.500 0.000 0.000 In
0.500 0.000 0.373 In
0.500 0.000 0.627 In
0.500 0.500 0.191 In
0.500 0.500 0.809 In
0.000 0.000 0.500 Pt

***

No. 12
PBE LaSm2Ni2, relaxed; calculated formation energy = -252 meV per atom; calculated total energy = -5.438 eV/atom; DOS at the Fermi energy = 5.204 states/eV/f.u.
1.0
5.705 -3.054 0.000
5.705 3.054 0.000
-1.478 0.000 7.133
La Sm Ni
2 4 4
direct
0.082 0.918 0.750 La
0.918 0.082 0.250 La
0.239 0.441 0.346 Sm
0.441 0.239 0.846 Sm
0.559 0.761 0.154 Sm
0.761 0.559 0.654 Sm
0.016 0.306 0.012 Ni
0.306 0.016 0.512 Ni
0.694 0.984 0.488 Ni
0.984 0.694 0.988 Ni

***

No. 13
PBE InPS, relaxed; uncorrected formation energy = -0.13 eV per atom; calculated total energy = -4.222 eV/atom; DOS at the Fermi energy = 0.001 states/eV/f.u.
1.0
4.300 0.000 0.000
-1.997 5.223 0.000
-0.369 -2.005 7.039
In P S
2 2 2
direct
0.167 0.296 0.280 In
0.833 0.704 0.720 In
0.196 0.414 0.670 P
0.804 0.586 0.330 P
0.194 0.189 0.866 S
0.806 0.811 0.134 S

***

No. 14
PBE BaY2Tl, relaxed; calculated formation energy = -2 meV per atom; calculated total energy = -4.306 eV/atom; DOS at the Fermi energy = 5.397 states/eV/f.u.
1.0
4.048 0.000 0.000
0.000 5.558 0.000
0.000 0.000 12.302
Ba Y Tl
2 4 2
direct
0.000 0.000 0.000 Ba
0.500 0.500 0.500 Ba
0.000 0.000 0.433 Y
0.000 0.500 0.212 Y
0.500 0.000 0.712 Y
0.500 0.500 0.933 Y
0.000 0.500 0.738 Tl
0.500 0.000 0.238 Tl

***

No. 15
PBE AcTiNi2, relaxed; calculated formation energy = -118 meV per atom; calculated total energy = -6.009 eV/atom; DOS at the Fermi energy = 4.796 states/eV/f.u.
1.0
3.263 0.000 0.000
0.000 3.263 0.000
0.000 0.000 6.993
Ac Ti Ni
1 1 2
direct
0.000 0.000 0.000 Ac
0.000 0.000 0.500 Ti
0.500 0.500 0.322 Ni
0.500 0.500 0.678 Ni

***

No. 16
PBE NaLa3Os, relaxed; calculated formation energy = -14 meV per atom; calculated total energy = -5.480 eV/atom; DOS at the Fermi energy = 2.645 states/eV/f.u.
1.0
7.749 -2.006 0.000
7.749 2.006 0.000
-4.040 0.000 10.997
Na La Os
2 6 2
direct
0.093 0.093 0.101 Na
0.907 0.907 0.899 Na
0.027 0.027 0.367 La
0.232 0.232 0.642 La
0.342 0.342 0.130 La
0.658 0.658 0.870 La
0.768 0.768 0.358 La
0.973 0.973 0.633 La
0.404 0.404 0.395 Os
0.596 0.596 0.605 Os

***

No. 17
PBE KGeRh3, relaxed; calculated formation energy = 2102 meV per atom; calculated total energy = -3.452 eV/atom; DOS at the Fermi energy = 5.737 states/eV/f.u.
1.0
4.736 0.000 0.000
0.000 4.736 0.000
0.000 0.000 4.736
K Ge Rh
1 1 3
direct
0.000 0.000 0.000 K
0.500 0.500 0.500 Ge
0.000 0.000 0.500 Rh
0.000 0.500 0.000 Rh
0.500 0.000 0.000 Rh

***

No. 18
PBE RbLi2CuBr4, relaxed; uncorrected formation energy = -1.22 eV per atom; calculated total energy = -3.167 eV/atom; DOS at the Fermi energy = 0.000 states/eV/f.u.
1.0
6.910 0.000 0.000
0.000 6.910 0.000
0.000 0.000 9.762
Rb Li Cu Br
2 4 2 8
direct
0.000 0.000 0.000 Rb
0.500 0.500 0.500 Rb
0.000 0.500 0.250 Li
0.000 0.500 0.750 Li
0.500 0.000 0.250 Li
0.500 0.000 0.750 Li
0.000 0.000 0.500 Cu
0.500 0.500 0.000 Cu
0.198 0.198 0.340 Br
0.198 0.802 0.660 Br
0.302 0.302 0.840 Br
0.302 0.698 0.160 Br
0.698 0.302 0.160 Br
0.698 0.698 0.840 Br
0.802 0.198 0.660 Br
0.802 0.802 0.340 Br

***

No. 19
PBE Ta2VFeH, relaxed; calculated total energy = -8.997 eV/atom; DOS at the Fermi energy = 2.487 states/eV/f.u.
1.0
4.352 0.000 0.000
0.000 4.352 0.000
0.000 0.000 3.282
Ta V Fe H
2 1 1 1
direct
0.000 0.500 0.000 Ta
0.500 0.000 0.000 Ta
0.000 0.000 0.500 V
0.500 0.500 0.500 Fe
0.500 0.500 0.000 H

***

No. 20
PBE Ce3Ru, relaxed; calculated formation energy = -185 meV per atom; calculated total energy = -6.954 eV/atom; DOS at the Fermi energy = 9.095 states/eV/f.u.
1.0
-5.721 5.721 2.880
5.721 -5.721 2.880
5.721 5.721 -2.880
Ce Ru
12 4
direct
0.000 0.351 0.351 Ce
0.000 0.649 0.649 Ce
0.056 0.457 0.000 Ce
0.128 0.128 0.821 Ce
0.307 0.307 0.179 Ce
0.351 0.000 0.351 Ce
0.457 0.056 0.000 Ce
0.543 0.543 0.599 Ce
0.649 0.000 0.649 Ce
0.693 0.872 0.000 Ce
0.872 0.693 0.000 Ce
0.944 0.944 0.401 Ce
0.202 0.500 0.702 Ru
0.500 0.202 0.702 Ru
0.500 0.798 0.298 Ru
0.798 0.500 0.298 Ru

***

No. 21
PBE SbAu, relaxed; uncorrected formation energy = -0.02 eV per atom; calculated total energy = -3.721 eV/atom; DOS at the Fermi energy = 0.677 states/eV/f.u.
1.0
7.043 0.000 0.000
0.000 6.436 0.000
0.000 0.000 8.713
Sb Au
8 8
direct
0.000 0.221 0.034 Sb
0.000 0.221 0.466 Sb
0.000 0.779 0.534 Sb
0.000 0.779 0.966 Sb
0.500 0.279 0.534 Sb
0.500 0.279 0.966 Sb
0.500 0.721 0.034 Sb
0.500 0.721 0.466 Sb
0.203 0.279 0.750 Au
0.203 0.721 0.250 Au
0.297 0.221 0.250 Au
0.297 0.779 0.750 Au
0.703 0.221 0.250 Au
0.703 0.779 0.750 Au
0.797 0.279 0.750 Au
0.797 0.721 0.250 Au

***

No. 22
PBE MgVAg2Sn, relaxed; calculated formation energy = 1208 meV per atom; calculated total energy = -2.875 eV/atom; DOS at the Fermi energy = 5.912 states/eV/f.u.
1.0
5.148 0.000 0.000
0.000 5.148 0.000
0.000 0.000 5.183
Mg V Ag Sn
1 1 2 1
direct
0.000 0.000 0.000 Mg
0.500 0.500 0.000 V
0.000 0.500 0.500 Ag
0.500 0.000 0.500 Ag
0.000 0.000 0.500 Sn

***

No. 23
PBE CoSbBr2, relaxed; uncorrected formation energy = 0.69 eV per atom; calculated total energy = -2.958 eV/atom; DOS at the Fermi energy = 6.791 states/eV/f.u.
1.0
6.997 0.000 0.000
0.000 7.795 0.000
0.000 0.000 3.398
Co Sb Br
2 2 4
direct
0.000 0.000 0.000 Co
0.500 0.500 0.000 Co
0.000 0.500 0.000 Sb
0.500 0.000 0.000 Sb
0.250 0.250 0.500 Br
0.250 0.750 0.500 Br
0.750 0.250 0.500 Br
0.750 0.750 0.500 Br

***

No. 24
PBE Ni2MoPb, relaxed; calculated formation energy = 329 meV per atom; calculated total energy = -6.196 eV/atom; DOS at the Fermi energy = 3.341 states/eV/f.u.
1.0
2.948 0.000 0.000
0.000 2.948 0.000
0.000 0.000 7.363
Ni Mo Pb
2 1 1
direct
0.000 0.000 0.216 Ni
0.000 0.000 0.784 Ni
0.500 0.500 0.000 Mo
0.500 0.500 0.500 Pb

***

No. 25
PBE La2PaCu, relaxed; calculated formation energy = 355 meV per atom; calculated total energy = -5.507 eV/atom; DOS at the Fermi energy = 5.223 states/eV/f.u.
1.0
3.302 0.000 0.000
-1.651 2.860 0.000
0.000 0.000 33.518
La Pa Cu
6 3 3
direct
0.000 0.000 0.096 La
0.000 0.000 0.904 La
0.333 0.667 0.571 La
0.333 0.667 0.763 La
0.667 0.333 0.237 La
0.667 0.333 0.429 La
0.000 0.000 0.000 Pa
0.333 0.667 0.667 Pa
0.667 0.333 0.333 Pa
0.000 0.000 0.500 Cu
0.333 0.667 0.167 Cu
0.667 0.333 0.833 Cu